Entry 1:
VASP calculation (PBE) on crystalline Ag2OsPb at its relaxed geometry.

a b c (Å): 3.0762 5.2501 4.7525
angles (deg): 90.00 91.61 90.00
Space group P2/m (No. 10)
Symmetry-distinct sites (fractional):
1 Ag 0.2420 0.0000 0.2599 x2
2 Os 0.0000 0.5000 0.5000 x1
3 Pb 0.5000 0.5000 0.0000 x1

Computed properties:
- DFT total energy (eV/cell) = -17.70
- Fermi-level density of states (states/eV per atom) = 0.657
- calculated formation energy (meV/atom) = 735

Entry 2:
VASP calculation (PBE) on crystalline TaTc2Br at its relaxed geometry.

a b c (Å): 2.9983 4.6150 9.2053
angles (deg): 90.00 90.00 90.00
Space group Immm (No. 71)
Symmetry-distinct sites (fractional):
1 Ta 0.0000 0.0000 0.0000 x2
2 Tc 0.0000 0.5000 0.2324 x4
3 Br 0.0000 0.0000 0.5000 x2

Computed properties:
- E above lowest polymorph (meV/atom) = 279
- raw formation energy (eV/atom) = 0.561
- DFT total energy (eV/cell) = -64.03
- Fermi-level density of states (states/eV per atom) = 0.892

Entry 3:
VASP calculation (PBE) on crystalline LiYBe17 at its relaxed geometry.

a b c (Å): 7.6008 7.6008 11.0740
angles (deg): 90.00 90.00 120.00
Space group R3m (No. 160, hexagonal axes)
Symmetry-distinct sites (fractional):
1 Li 0.0000 0.0000 0.0000 x3
2 Y 0.0000 0.0000 0.6830 x3
3 Be 0.0000 0.0000 0.2430 x3
4 Be 0.0000 0.0000 0.4360 x3
5 Be 0.0010 0.5005 0.1804 x9
6 Be 0.0490 0.3787 0.0064 x18
7 Be 0.1710 0.3419 0.1765 x9
8 Be 0.1727 0.3454 0.8292 x9

Computed properties:
- DFT total energy (eV/cell) = -217.19
- Fermi-level density of states (states/eV per atom) = 0.116
- calculated formation energy (meV/atom) = -35